Record 1
VASP calculation (PBE-GGA) on an optimized crystal structure of Tm3InPd12. Values from VASP.

Computed properties:
Final energy: -0.4187 Ry per atom
Formation energy from the elements: -0.79 eV per atom
SG: P4/mmm, No. 123
Volume: 16.999 Å³ per atom

```
&SYSTEM
  ibrav = 0, nat = 16, ntyp = 3
/
ATOMIC_SPECIES
Tm 168.93 Tm.upf
In 114.82 In.upf
Pd 106.42 Pd.upf
CELL_PARAMETERS angstrom
4.0881 0.0000 0.0000
0.0000 4.0881 0.0000
0.0000 0.0000 16.2745
ATOMIC_POSITIONS crystal
Tm 0.0000 0.0000 0.0000
Tm 0.0000 0.0000 0.2523
Tm 0.0000 0.0000 0.7477
In 0.0000 0.0000 0.5000
Pd 0.0000 0.5000 0.1259
Pd 0.0000 0.5000 0.3779
Pd 0.0000 0.5000 0.6221
Pd 0.0000 0.5000 0.8741
Pd 0.5000 0.0000 0.1259
Pd 0.5000 0.0000 0.3779
Pd 0.5000 0.0000 0.6221
Pd 0.5000 0.0000 0.8741
Pd 0.5000 0.5000 0.0000
Pd 0.5000 0.5000 0.2519
Pd 0.5000 0.5000 0.5000
Pd 0.5000 0.5000 0.7481
```

=====

Record 2
VASP calculation (PBE-GGA) on an optimized crystal structure of TmInPd. Values from VASP.

Computed properties:
Final energy: -0.3622 Ry per atom
Formation energy from the elements: -0.79 eV per atom
SG: Pmma, No. 51
Volume: 21.670 Å³ per atom

```
&SYSTEM
  ibrav = 0, nat = 18, ntyp = 3
/
ATOMIC_SPECIES
Tm 168.93 Tm.upf
In 114.82 In.upf
Pd 106.42 Pd.upf
CELL_PARAMETERS angstrom
13.4910 0.0000 0.0000
0.0000 3.7060 0.0000
0.0000 0.0000 7.8015
ATOMIC_POSITIONS crystal
Tm 0.0488 0.0000 0.2211
Tm 0.2500 0.0000 0.8320
Tm 0.4512 0.0000 0.2211
Tm 0.5488 0.0000 0.7789
Tm 0.7500 0.0000 0.1680
Tm 0.9512 0.0000 0.7789
In 0.1100 0.5000 0.5648
In 0.2500 0.5000 0.1814
In 0.3900 0.5000 0.5648
In 0.6100 0.5000 0.4352
In 0.7500 0.5000 0.8186
In 0.8900 0.5000 0.4352
Pd 0.0963 0.5000 0.9310
Pd 0.2500 0.0000 0.4465
Pd 0.4037 0.5000 0.9310
Pd 0.5963 0.5000 0.0690
Pd 0.7500 0.0000 0.5535
Pd 0.9037 0.5000 0.0690
```

=====

Record 3
VASP calculation (PBE-GGA) on an optimized crystal structure of Tm2In2Pd3. Values from VASP.

Computed properties:
Final energy: -0.3706 Ry per atom
Formation energy from the elements: -0.76 eV per atom
SG: C2/m, No. 12
Volume: 21.249 Å³ per atom

```
&SYSTEM
  ibrav = 0, nat = 7, ntyp = 3
/
ATOMIC_SPECIES
Tm 168.93 Tm.upf
In 114.82 In.upf
Pd 106.42 Pd.upf
CELL_PARAMETERS angstrom
4.2113 -2.4367 0.0000
4.2113 2.4367 0.0000
-2.8431 0.0000 7.2476
ATOMIC_POSITIONS crystal
Tm 0.1144 0.1144 0.3454
Tm 0.8856 0.8856 0.6546
In 0.3703 0.3703 0.1141
In 0.6297 0.6297 0.8859
Pd 0.2480 0.2480 0.7393
Pd 0.5000 0.5000 0.5000
Pd 0.7520 0.7520 0.2607
```